Record 1
Compound: ScTlRuF2
Source: Alexandria
Functional: PBEsol
Structure: optimized geometry

CIF file:
```
data_ScTlRuF2
_cell_length_a 4.197
_cell_length_b 4.197
_cell_length_c 4.929
_cell_angle_alpha 90.00
_cell_angle_beta 90.00
_cell_angle_gamma 90.00
_space_group_name_H-M_alt 'P 1'
_space_group_IT_number 1
loop_
_space_group_symop_operation_xyz
'x,y,z'
loop_
_atom_site_label
_atom_site_type_symbol
_atom_site_fract_x
_atom_site_fract_y
_atom_site_fract_z
_atom_site_occupancy
Sc1 Sc 0.000 0.000 0.000 1
Tl1 Tl 0.500 0.500 0.000 1
Ru1 Ru 0.000 0.000 0.500 1
F1 F 0.000 0.500 0.500 1
F2 F 0.500 0.000 0.500 1
```

ρ = 7.4 Mg/m³
D(E_F) = 2.7 states/eV/f.u.
Symmetry = P4/mmm, No. 123
ΔE_f (raw) = -0.666 eV/atom
VASP energy = -26.59 eV/cell



Record 2
Compound: Y2ScRuF
Source: Alexandria
Functional: PBEsol
Structure: optimized geometry

CIF file:
```
data_Y2ScRuF
_cell_length_a 5.644
_cell_length_b 5.644
_cell_length_c 4.264
_cell_angle_alpha 90.00
_cell_angle_beta 90.00
_cell_angle_gamma 90.00
_space_group_name_H-M_alt 'P 1'
_space_group_IT_number 1
loop_
_space_group_symop_operation_xyz
'x,y,z'
loop_
_atom_site_label
_atom_site_type_symbol
_atom_site_fract_x
_atom_site_fract_y
_atom_site_fract_z
_atom_site_occupancy
Y1 Y 0.000 0.500 0.000 1
Y2 Y 0.500 0.000 0.000 1
Sc1 Sc 0.000 0.000 0.000 1
Ru1 Ru 0.000 0.000 0.500 1
F1 F 0.500 0.500 0.500 1
```

ρ = 4.2 Mg/m³
D(E_F) = 5.0 states/eV/f.u.
Symmetry = P4/mmm, No. 123
ΔE_f (raw) = 0.461 eV/atom
VASP energy = -30.04 eV/cell



Record 3
Compound: SiRuF2
Source: Alexandria
Functional: PBEsol
Structure: optimized geometry

CIF file:
```
data_SiRuF2
_cell_length_a 5.328
_cell_length_b 5.328
_cell_length_c 5.328
_cell_angle_alpha 100.62
_cell_angle_beta 100.62
_cell_angle_gamma 129.16
_space_group_name_H-M_alt 'P 1'
_space_group_IT_number 1
loop_
_space_group_symop_operation_xyz
'x,y,z'
loop_
_atom_site_label
_atom_site_type_symbol
_atom_site_fract_x
_atom_site_fract_y
_atom_site_fract_z
_atom_site_occupancy
Si1 Si 0.000 0.000 0.000 1
Si2 Si 0.750 0.250 0.500 1
Ru1 Ru 0.250 0.750 0.500 1
Ru2 Ru 0.500 0.500 0.000 1
F1 F 0.212 0.625 0.087 1
F2 F 0.375 0.462 0.587 1
F3 F 0.538 0.125 0.913 1
F4 F 0.875 0.788 0.413 1
```

ρ = 5.2 Mg/m³
D(E_F) = 0.3 states/eV/f.u.
Symmetry = I-42d, No. 122
ΔE_f (raw) = -0.484 eV/atom
VASP energy = -43.42 eV/cell



Record 4
Compound: SrRuWF2
Source: Alexandria
Functional: PBEsol
Structure: optimized geometry

CIF file:
```
data_SrRuWF2
_cell_length_a 4.174
_cell_length_b 4.174
_cell_length_c 6.704
_cell_angle_alpha 90.00
_cell_angle_beta 90.00
_cell_angle_gamma 90.00
_space_group_name_H-M_alt 'P 1'
_space_group_IT_number 1
loop_
_space_group_symop_operation_xyz
'x,y,z'
loop_
_atom_site_label
_atom_site_type_symbol
_atom_site_fract_x
_atom_site_fract_y
_atom_site_fract_z
_atom_site_occupancy
Sr1 Sr 0.000 0.000 0.000 1
Ru1 Ru 0.000 0.000 0.500 1
W1 W 0.500 0.500 0.500 1
F1 F 0.000 0.500 0.000 1
F2 F 0.500 0.000 0.000 1
```

ρ = 5.8 Mg/m³
D(E_F) = 4.2 states/eV/f.u.
Symmetry = P4/mmm, No. 123
ΔE_f (raw) = 0.013 eV/atom
VASP energy = -29.61 eV/cell